(1)
The following is a GGA-PBE calculation of MnOsW2 after structural relaxation, from Alexandria via LeMat-Bulk.

Results
The uncorrected energy comes out at -11.47 eV/atom. The formation energy is 0.107 eV per atom.

Cell lengths 3.165, 4.341, 4.342 Å; angles 90.00, 90.00, 90.00 degrees
Positions (direct):
1 Mn 0.000 0.000 0.000
2 Os 0.500 0.000 0.500
3 W 0.000 0.500 0.500
4 W 0.500 0.500 0.000

=====

(2)
The following is a GGA-PBE calculation of Li3Al2Ga after structural relaxation, from Alexandria via LeMat-Bulk.

Results
The uncorrected energy comes out at -2.85 eV/atom. The formation energy is -0.138 eV per atom.

Cell lengths 9.028, 8.222, 5.344 Å; angles 80.41, 63.89, 35.70 degrees
Positions (direct):
1 Li 0.166 0.669 0.331
2 Li 0.169 0.169 0.831
3 Li 0.331 0.834 0.166
4 Li 0.669 0.166 0.834
5 Li 0.831 0.831 0.169
6 Li 0.834 0.331 0.669
7 Al 0.250 0.250 0.250
8 Al 0.251 0.749 0.749
9 Al 0.749 0.251 0.251
10 Al 0.750 0.750 0.750
11 Ga 0.337 0.337 0.663
12 Ga 0.663 0.663 0.337

=====

(3)
The following is a GGA-PBE calculation of ZrH4 after structural relaxation, from Alexandria via LeMat-Bulk.

Results
The uncorrected energy comes out at -4.52 eV/atom.

Cell lengths 3.762, 5.796, 3.464 Å; angles 90.00, 90.00, 90.00 degrees
Positions (direct):
1 Zr 0.000 0.000 0.000
2 Zr 0.500 0.500 0.000
3 H 0.000 0.347 0.000
4 H 0.000 0.653 0.000
5 H 0.212 0.125 0.500
6 H 0.288 0.625 0.500
7 H 0.500 0.153 0.000
8 H 0.500 0.847 0.000
9 H 0.712 0.375 0.500
10 H 0.788 0.875 0.500